A plane-wave DFT calculation with GGA-PBE was carried out for Ba2ScAs after structural relaxation.

```
Ba2ScAs
1.0
0.0000 3.9993 3.9993
3.9993 0.0000 3.9993
3.9993 3.9993 0.0000
Ba Sc As
2 1 1
Cartesian
0.0000 0.0000 0.0000
1.9996 1.9996 1.9996
5.9989 5.9989 5.9989
3.9993 3.9993 3.9993
```

Computed properties:
As for the calculated formation energy: 0.059 eV per atom. Its space-group type is F-43m (216). The calculation puts the total energy at -3.6473 eV per atom.

=====

A plane-wave DFT calculation with GGA-PBE was carried out for Pr2TaGe3Rh4 after structural relaxation.

```
Pr2TaGe3Rh4
1.0
4.2379 0.0000 0.0000
0.0000 4.2379 0.0000
0.0000 0.0000 10.5653
Pr Ta Ge Rh
2 1 3 4
Cartesian
0.0000 2.1189 2.5663
2.1189 0.0000 7.9990
0.0000 0.0000 5.2826
0.0000 2.1189 9.2295
2.1189 0.0000 1.3358
2.1189 2.1189 5.2826
0.0000 0.0000 0.0000
0.0000 2.1189 6.7292
2.1189 0.0000 3.8361
2.1189 2.1189 0.0000
```

Computed properties:
As for the calculated formation energy: -0.801 eV per atom. Its space-group type is P-4m2 (115). The calculation puts the total energy at -7.2679 eV per atom.

=====

A plane-wave DFT calculation with GGA-PBE was carried out for Li4IBr2 after structural relaxation.

```
Li4IBr2
1.0
-2.6743 2.6743 7.2833
2.6743 -2.6743 7.2833
2.6743 2.6743 -7.2833
Li I Br
4 1 2
Cartesian
2.6743 0.0000 0.0000
0.0000 0.0000 3.1003
0.0000 2.6743 0.0000
0.0000 0.0000 11.4662
0.0000 0.0000 0.0000
0.0000 0.0000 5.5295
0.0000 0.0000 9.0371
```

Computed properties:
Its space-group type is I4/mmm (139). Its formation energy (no corrections) is -0.884 eV per atom. The calculation puts the total energy at -2.6772 eV per atom.

=====

A plane-wave DFT calculation with GGA-PBE was carried out for Li3Sc3PaSe8 after structural relaxation.

```
Li3Sc3PaSe8
1.0
3.9147 2.2602 6.4452
-3.9147 2.2602 6.4452
0.0000 -4.5203 6.4452
Li Sc Pa Se
3 3 1 8
Cartesian
-1.9573 -1.1301 6.4452
-1.9573 1.1301 12.8905
0.0000 2.2601 6.4452
-3.9147 0.0000 9.6678
-1.9573 1.1301 3.2226
1.9573 1.1301 3.2226
0.0000 0.0000 9.6678
-2.0133 -1.1624 11.2545
0.0000 0.0000 4.7834
0.0000 -2.3247 8.0812
-2.0133 1.1624 8.0812
2.0133 -1.1624 11.2545
0.0000 2.3247 11.2545
0.0000 0.0000 14.5523
2.0133 1.1624 8.0812
```

Computed properties:
Its space-group type is R-3m (166). Its formation energy (no corrections) is -1.523 eV per atom. The calculation puts the total energy at -5.6634 eV per atom.

=====

A plane-wave DFT calculation with GGA-PBE was carried out for TiP3Ir after structural relaxation.

```
TiP3Ir
1.0
4.6073 0.0000 0.0000
0.0000 4.6073 0.0000
0.0000 0.0000 4.6073
Ti P Ir
1 3 1
Cartesian
0.0000 0.0000 0.0000
0.0000 2.3036 2.3036
2.3036 0.0000 2.3036
2.3036 2.3036 0.0000
2.3036 2.3036 2.3036
```

Computed properties:
As for the calculated formation energy: 0.709 eV per atom. Its space-group type is Pm-3m (221). The calculation puts the total energy at -5.8886 eV per atom.

=====

A plane-wave DFT calculation with GGA-PBE was carried out for Be2Cu2Ru after structural relaxation.

```
Be2Cu2Ru
1.0
6.4452 0.0000 0.0000
0.0000 6.4452 0.0000
0.0000 0.0000 2.5609
Be Cu Ru
4 4 2
Cartesian
0.9116 2.3110 0.0000
2.3110 5.5336 0.0000
4.1342 0.9116 0.0000
5.5336 4.1342 0.0000
0.9815 4.2041 1.2805
2.2411 0.9815 1.2805
4.2041 5.4637 1.2805
5.4637 2.2411 1.2805
0.0000 0.0000 0.0000
3.2226 3.2226 0.0000
```

Computed properties:
As for the calculated formation energy: -0.029 eV per atom. Its space-group type is P4/mbm (127). The calculation puts the total energy at -5.0133 eV per atom.

=====

A plane-wave DFT calculation with GGA-PBE was carried out for HoZr3 after structural relaxation.

```
HoZr3
1.0
3.2981 0.0000 0.0000
0.0000 5.2306 0.0000
0.0000 0.0000 5.7716
Ho Zr
1 3
Cartesian
0.0000 0.0000 0.0000
0.0000 2.6153 3.8246
1.6490 0.0000 2.8902
1.6490 2.6153 1.0692
```

Computed properties:
As for the calculated formation energy: 0.042 eV per atom. Its space-group type is Pmm2 (25). The calculation puts the total energy at -7.5139 eV per atom.

=====

A plane-wave DFT calculation with GGA-PBE was carried out for BeMo4As after structural relaxation.

```
BeMo4As
1.0
0.0000 3.6767 3.6767
3.6767 0.0000 3.6767
3.6767 3.6767 0.0000
Be Mo As
1 4 1
Cartesian
0.0000 0.0000 0.0000
4.6023 2.7511 2.7511
2.7511 4.6023 2.7511
2.7511 2.7511 4.6023
4.6023 4.6023 4.6023
1.8384 1.8384 1.8384
```

Computed properties:
As for the calculated formation energy: 0.709 eV per atom. Its space-group type is F-43m (216). The calculation puts the total energy at -7.9073 eV per atom.

=====

A plane-wave DFT calculation with GGA-PBE was carried out for V13Si2 after structural relaxation.

```
V13Si2
1.0
3.5012 2.0214 5.1144
-3.5012 2.0214 5.1144
0.0000 -4.0429 5.1144
V Si
13 2
Cartesian
0.0000 0.0000 0.0000
0.0000 -1.7524 4.0682
-1.5176 0.8762 4.0682
-1.3717 -0.7920 8.6200
0.0000 -1.5839 6.7233
-1.3717 0.7920 6.7233
-1.5176 -0.8762 11.2750
1.5176 0.8762 4.0682
1.3717 -0.7920 8.6200
0.0000 1.5839 8.6200
1.3717 0.7920 6.7233
1.5176 -0.8762 11.2750
0.0000 1.7524 11.2750
0.0000 0.0000 2.3228
0.0000 0.0000 13.0205
```

Computed properties:
Its space-group type is R-3m (166). Its formation energy (no corrections) is 0.212 eV per atom. The calculation puts the total energy at -8.4141 eV per atom.